[1]
The following is a DFT calculation (PBE) of a relaxed LiAg12Te7 crystal.

Values from the calculation:
Its total DFT energy (no corrections) is -2.910 eV/atom. Its crystal system is trigonal. For the formation energy without anion corrections, the calculation gives -0.1 kcal/mol of atoms.

a b c (Å): 13.8132 13.8132 8.4456
angles (deg): 90.00 90.00 120.00
Space group R-3 (No. 148, hexagonal axes)
Symmetry-distinct sites (fractional):
1 Li 0.0000 0.0000 0.0000 x3
2 Ag 0.0048 0.7879 0.1823 x18
3 Ag 0.0881 0.5534 0.1653 x18
4 Te 0.0000 0.0000 0.5000 x3
5 Te 0.0049 0.7941 0.8198 x18

***

[2]
The following is a DFT calculation (PBE) of a relaxed LiAg2Te crystal.

Values from the calculation:
Its total DFT energy (no corrections) is -2.909 eV/atom. Its crystal system is monoclinic. For the formation energy without anion corrections, the calculation gives -5.1 kcal/mol of atoms.

a b c (Å): 3.1252 4.0844 6.6527
angles (deg): 90.00 102.61 90.00
Space group Pm (No. 6)
Symmetry-distinct sites (fractional):
1 Li 0.0000 0.0000 0.0000 x1
2 Ag 0.3846 0.5000 0.7643 x1
3 Ag 0.7860 0.0000 0.5616 x1
4 Te 0.6054 0.5000 0.2178 x1

***

[3]
The following is a DFT calculation (PBE) of a relaxed Li2AgTe2 crystal.

Values from the calculation:
Its total DFT energy (no corrections) is -3.196 eV/atom. Its crystal system is monoclinic. The energy above the lowest structure with this stoichiometry comes out at 0.000 eV per atom. For the formation energy without anion corrections, the calculation gives -13.9 kcal/mol of atoms.

a b c (Å): 10.4252 7.4091 6.7398
angles (deg): 90.00 103.57 90.00
Space group P2_1/c (No. 14)
Symmetry-distinct sites (fractional):
1 Li 0.0275 0.2469 0.0103 x4
2 Li 0.2858 0.7159 0.0628 x4
3 Ag 0.3911 0.0894 0.8635 x4
4 Te 0.1321 0.5269 0.2953 x4
5 Te 0.4006 0.0289 0.3119 x4

***

[4]
The following is a DFT calculation (PBE) of a relaxed LiAg2Te crystal.

Values from the calculation:
Its total DFT energy (no corrections) is -2.835 eV/atom. Its crystal system is monoclinic. For the formation energy without anion corrections, the calculation gives -3.4 kcal/mol of atoms.

a b c (Å): 5.7024 11.2188 3.0968
angles (deg): 90.00 122.13 90.00
Space group C2/m (No. 12)
Symmetry-distinct sites (fractional):
1 Li 0.0000 0.0000 0.0000 x2
2 Ag 0.2500 0.2500 0.0000 x4
3 Te 0.0000 0.5000 0.0000 x2

***

[5]
The following is a DFT calculation (PBE) of a relaxed LiAgTe crystal.

Values from the calculation:
Its total DFT energy (no corrections) is -3.024 eV/atom. Its crystal system is trigonal. For the formation energy without anion corrections, the calculation gives -9.0 kcal/mol of atoms.

a b c (Å): 4.6950 4.6950 4.5281
angles (deg): 90.00 90.00 120.00
Space group P3m1 (No. 156)
Symmetry-distinct sites (fractional):
1 Li 0.0000 0.0000 0.0000 x1
2 Ag 0.3333 0.6667 0.7880 x1
3 Te 0.6667 0.3333 0.7092 x1

***

[6]
The following is a DFT calculation (PBE) of a relaxed LiAg2Te crystal.

Values from the calculation:
Its total DFT energy (no corrections) is -2.881 eV/atom. Its crystal system is monoclinic. For the formation energy without anion corrections, the calculation gives -4.4 kcal/mol of atoms.

a b c (Å): 3.1515 4.9789 5.5369
angles (deg): 90.00 102.25 90.00
Space group P2/m (No. 10)
Symmetry-distinct sites (fractional):
1 Li 0.0000 0.0000 0.0000 x1
2 Ag 0.3485 0.5000 0.2176 x2
3 Te 0.5000 0.0000 0.5000 x1

***

[7]
The following is a DFT calculation (PBE) of a relaxed LiAg2Te crystal.

Values from the calculation:
Its total DFT energy (no corrections) is -2.661 eV/atom. Its crystal system is orthorhombic. For the formation energy without anion corrections, the calculation gives 0.7 kcal/mol of atoms.

a b c (Å): 3.8723 4.6230 9.3596
angles (deg): 90.00 90.00 90.00
Space group Cmmm (No. 65)
Symmetry-distinct sites (fractional):
1 Li 0.0000 0.0000 0.0000 x2
2 Ag 0.0000 0.5000 0.2057 x4
3 Te 0.0000 0.0000 0.5000 x2

***

[8]
The following is a DFT calculation (PBE) of a relaxed LiAg2Te crystal.

Values from the calculation:
Its total DFT energy (no corrections) is -2.965 eV/atom. Its crystal system is tetragonal. For the formation energy without anion corrections, the calculation gives -6.4 kcal/mol of atoms.

a b c (Å): 4.1900 4.1900 4.4749
angles (deg): 90.00 90.00 90.00
Space group P4/mmm (No. 123)
Symmetry-distinct sites (fractional):
1 Li 0.0000 0.0000 0.0000 x1
2 Ag 0.0000 0.5000 0.5000 x2
3 Te 0.5000 0.5000 0.0000 x1